1.
A relaxed structure of Ac3Al2Ni4, computed with GGA-PBE.

Unit cell a=10.874 b=4.239 c=8.606 alpha=90.00 beta=99.58 gamma=90.00
Space group C2/m (No. 12)
Asymmetric unit:
Ac 0.000 0.000 0.000 [2 per cell]
Ac 0.122 0.500 0.381 [4 per cell]
Al 0.180 0.500 0.795 [4 per cell]
Ni 0.093 0.000 0.650 [4 per cell]
Ni 0.241 0.500 0.085 [4 per cell]

Values from the calculation:
energy: -93.26 eV/cell


2.
A relaxed structure of SmRuCl6, computed with GGA-PBE.

Unit cell a=6.4028 b=6.4028 c=17.4149 alpha=90.00 beta=90.00 gamma=120.00
Space group R-3 (No. 148, hexagonal axes)
Asymmetric unit:
Sm 0.0000 0.0000 0.0000 [3 per cell]
Ru 0.0000 0.0000 0.5000 [3 per cell]
Cl 0.0057 0.6977 0.4220 [18 per cell]

Values from the calculation:
formation energy (no corrections): -1278 meV per atom


3.
A relaxed structure of ScTaBe2, computed with GGA-PBE.

Unit cell a=2.833 b=2.833 c=7.190 alpha=90.00 beta=90.00 gamma=90.00
Space group P4mm (No. 99)
Asymmetric unit:
Sc 0.000 0.000 0.000 [1 per cell]
Ta 0.500 0.500 0.330 [1 per cell]
Be 0.000 0.000 0.577 [1 per cell]
Be 0.500 0.500 0.721 [1 per cell]

Values from the calculation:
energy: -25.29 eV/cell


no.,Fermi-level density of states (states/eV/f.u.),magnetic moment (μB per atom)
1,7.11,0.000
2,7.13,0.127
3,3.66,0.000